The following is a GGA-PBE calculation of Ce4PaSb5 after structural relaxation, from Alexandria.

formation energy from raw total energies: -0.914 eV per atom
total energy: -62.98 eV/f.u.
total magnetic moment: 4.5 μB/f.u.

Unit cell a=4.470 b=4.470 c=31.629 alpha=90.00 beta=90.00 gamma=90.00
Space group I4/mmm (No. 139)
One atom of each set of equivalent atoms:
Ce 0.000 0.000 0.100
Ce 0.000 0.000 0.301
Pa 0.000 0.000 0.500
Sb 0.000 0.000 0.000
Sb 0.000 0.000 0.200
Sb 0.000 0.000 0.402

=====

The following is a GGA-PBE calculation of CePa4Sb5 after structural relaxation, from Alexandria.

formation energy from raw total energies: -0.555 eV per atom
total energy: -70.08 eV/f.u.
total magnetic moment: 0.0 μB/f.u.

Unit cell a=9.801 b=9.801 c=6.194 alpha=90.00 beta=90.00 gamma=90.00
Space group I4/m (No. 87)
One atom of each set of equivalent atoms:
Ce 0.000 0.000 0.000
Pa 0.102 0.299 0.500
Sb 0.000 0.000 0.500
Sb 0.100 0.304 0.000

=====

The following is a GGA-PBE calculation of Ce2PaSb3 after structural relaxation, from Alexandria.

formation energy from raw total energies: -0.833 eV per atom
total energy: -38.73 eV/f.u.
total magnetic moment: 2.7 μB/f.u.
distance to the lowest polymorph of the same formula: 0.031 eV/f.u.

Unit cell a=4.448 b=4.448 c=18.899 alpha=90.00 beta=90.00 gamma=90.00
Space group I4/mmm (No. 139)
One atom of each set of equivalent atoms:
Ce 0.000 0.000 0.167
Pa 0.000 0.000 0.500
Sb 0.000 0.000 0.000
Sb 0.000 0.000 0.336

=====

The following is a GGA-PBE calculation of Ce2PaSb after structural relaxation, from Alexandria.

formation energy from raw total energies: -0.320 eV per atom
total energy: -26.77 eV/f.u.
total magnetic moment: 2.8 μB/f.u.
distance to the lowest polymorph of the same formula: 0.404 eV/f.u.

Unit cell a=3.971 b=3.971 c=6.761 alpha=90.00 beta=90.00 gamma=90.00
Space group P4/mmm (No. 123)
One atom of each set of equivalent atoms:
Ce 0.000 0.000 0.247
Pa 0.500 0.500 0.500
Sb 0.500 0.500 0.000